An optimized crystal structure of Ce3Si2Pt3, computed with GGA-PBE.

Lattice parameters (Å, degrees): 4.2846 10.5885 14.5896 90.00 90.00 90.00
Space group Cmcm (No. 63)
Symmetry-distinct sites (fractional):
Ce 0.0000 0.0818 0.1050 (multiplicity 8)
Ce 0.0000 0.3766 0.2500 (multiplicity 4)
Si 0.0000 0.2116 0.5978 (multiplicity 8)
Pt 0.0000 0.3295 0.7500 (multiplicity 4)
Pt 0.0000 0.3791 0.0444 (multiplicity 8)

DOS(E_F) ... 1.5238 states/eV per atom
Calculated volume ... 20.684 Å³ per atom
Uncorrected formation energy ... -1.061 eV/atom
Electronic total energy ... -6.91 eV/atom